1.
VASP calculation (PBE) on RbVZn after structural relaxation.

Formation enthalpy at 0 K = 397 meV per atom
M_tot = 0.00 μB per cell
Raw total energy = -3.3900 eV per atom
Symmetry = P1, No. 1

Cell and atoms, written as POSCAR:
```
RbVZn
1.0
-1.2805 -1.2092 2.9316
-7.4944 -7.6686 -6.6206
2.8558 -2.8408 0.0756
Rb Zn V
2 2 2
Direct
0.5678 0.3252 0.6018
0.0452 0.6716 0.1093
0.5460 0.9045 0.6079
0.0542 0.0777 0.6090
0.0470 0.9290 0.1079
0.5536 0.0637 0.1088
```

---

2.
VASP calculation (PBE) on Rb3VZn after structural relaxation.

Formation enthalpy at 0 K = 956 meV per atom
M_tot = 5.59 μB per cell
Raw total energy = -1.7028 eV per atom
Symmetry = Pm-3m, No. 221

Cell and atoms, written as POSCAR:
```
Rb3VZn
1.0
6.9661 0.0000 0.0000
0.0000 6.9661 0.0000
0.0000 0.0000 6.9661
V Rb Zn
1 3 1
Direct
0.0000 0.0000 0.0000
0.5000 0.0000 0.0000
0.0000 0.5000 0.0000
0.0000 0.0000 0.5000
0.5000 0.5000 0.5000
```

---

3.
VASP calculation (PBE) on RbVZn after structural relaxation.

Formation enthalpy at 0 K = 1328 meV per atom
M_tot = 9.55 μB per cell
Raw total energy = -2.4583 eV per atom
Symmetry = P6_3/mmc, No. 194

Cell and atoms, written as POSCAR:
```
RbVZn
1.0
5.1140 -2.9526 0.0000
0.0000 5.9052 0.0000
0.0000 0.0000 10.4750
Rb V Zn
2 2 2
Direct
0.6667 0.3333 0.7500
0.3333 0.6667 0.2500
0.0000 0.0000 0.5000
0.0000 0.0000 0.0000
0.0000 0.0000 0.7500
0.0000 0.0000 0.2500
```

---

4.
VASP calculation (PBE) on Rb2Zr2V after structural relaxation.

Formation enthalpy at 0 K = 1389 meV per atom
M_tot = 2.55 μB per cell
Raw total energy = -4.2411 eV per atom
Symmetry = I4/mmm, No. 139

Cell and atoms, written as POSCAR:
```
Rb2Zr2V
1.0
4.1676 0.0000 0.0000
0.0000 4.1676 0.0000
2.0838 2.0838 8.9525
Zr Rb V
2 2 1
Direct
0.4295 0.4295 0.1411
0.5705 0.5705 0.8589
0.2500 0.7500 0.5000
0.7500 0.2500 0.5000
0.0000 0.0000 0.0000
```

---

What did the fourth record say?
VASP calculation (PBE) on Rb2Zr2V after structural relaxation.

Formation enthalpy at 0 K = 1389 meV per atom
M_tot = 2.55 μB per cell
Raw total energy = -4.2411 eV per atom
Symmetry = I4/mmm, No. 139

Cell and atoms, written as POSCAR:
```
Rb2Zr2V
1.0
4.1676 0.0000 0.0000
0.0000 4.1676 0.0000
2.0838 2.0838 8.9525
Zr Rb V
2 2 1
Direct
0.4295 0.4295 0.1411
0.5705 0.5705 0.8589
0.2500 0.7500 0.5000
0.7500 0.2500 0.5000
0.0000 0.0000 0.0000
```

---

Among the records above, which one has the lowest formation enthalpy at 0 K?
number 1

---

Among the records above, which one has the highest formation enthalpy at 0 K?
Rb2Zr2V

---

Which value of M_tot does entry 4 give?
2.55 μB per cell